A geometry-optimized V3TcMo2 structure, computed with PBE.

**DFT formation energy**: -166 meV per atom
**Energy relative to the lowest polymorph listed for this composition**: 0.369 eV per formula unit
**Mass density**: 8500 kg/m³

Lattice parameters (Å, degrees): 4.4187 8.4958 5.1003 90.00 115.39 90.00
Last column: nearest neighbours and their distance in Å.
Space group P2/m (No. 10)
One atom of each set of equivalent atoms:
V (0.0000, 0.2455, 0.0000)  2 Tc 2.59, 2 Mo 2.65, 4 V 2.69-2.70
V (0.3325, 0.2466, 0.6649)  1 Tc 2.59, 3 Mo 2.60-2.65, 4 V 2.67-2.70
Tc (0.1664, 0.0000, 0.3328)  4 V 2.59, 2 Mo 2.68-2.70, 2 Tc 2.69-2.70
Mo (0.1665, 0.5000, 0.3332)  4 V 2.64-2.65, 4 Mo 2.68-2.70
Mo (0.5000, 0.0000, 0.0000)  4 V 2.60, 4 Tc 2.68-2.70
Mo (0.5000, 0.5000, 0.0000)  4 V 2.65, 4 Mo 2.68-2.70

=====

A geometry-optimized PuCdI2 structure, computed with PBE.

**Mass density**: 6559 kg/m³
**Uncorrected formation energy**: -68 meV/atom

Lattice parameters (Å, degrees): 4.1706 4.1706 30.7667 90.00 90.00 120.00
Last column: nearest neighbours and their distance in Å.
Space group R-3m (No. 166, hexagonal axes)
One atom of each set of equivalent atoms:
Pu (0.0000, 0.0000, 0.0000)  2 I 3.08
Cd (0.0000, 0.0000, 0.5000)  6 I 3.16
I (0.0000, 0.0000, 0.1001)  1 Pu 3.08, 3 Cd 3.16

=====

A geometry-optimized Er2MgAu4 structure, computed with PBE.

**DFT formation energy**: -666 meV per atom
**Mass density**: 11908 kg/m³

Lattice parameters (Å, degrees): 4.7102 4.7102 24.9673 90.00 90.00 120.00
Last column: nearest neighbours and their distance in Å.
Space group R-3m (No. 166, hexagonal axes)
One atom of each set of equivalent atoms:
Er (0.0000, 0.0000, 0.2470)  8 Au 2.92-3.05
Mg (0.0000, 0.0000, 0.0000)  6 Au 2.83
Au (0.0000, 0.0000, 0.1294)  4 Er 2.92-2.93, 1 Mg 3.23
Au (0.0000, 0.0000, 0.3648)  3 Mg 2.83, 4 Er 2.94-3.05, 3 Au 3.14